1.
Below is crystalline TlReBr2 at its relaxed geometry, with properties calculated at the PBE-GGA level.

Energy above the lowest structure with this stoichiometry ... 0.52 eV per formula unit
Uncorrected formation energy ... 0.449 eV per atom

Cell and atoms, written as CIF:
```
data_TlReBr2
_space_group_name_H-M_alt 'I -4 2 d'
_space_group_IT_number 122
_space_group_name_Hall 'I -4 2bw'
_cell_length_a 8.756
_cell_length_b 8.756
_cell_length_c 5.663
_cell_angle_alpha 90.00
_cell_angle_beta 90.00
_cell_angle_gamma 90.00
loop_
_atom_site_label
_atom_site_fract_x
_atom_site_fract_y
_atom_site_fract_z
Tl1 0.000 0.000 0.000
Re1 0.000 0.000 0.500
Br1 0.122 0.250 0.625
```

2.
Below is crystalline Ga2Bi3Au4 at its relaxed geometry, with properties calculated at the PBE-GGA level.

ΔH_f (0 K) ... -0.075 eV per atom

Cell and atoms, written as CIF:
```
data_Ga2Bi3Au4
_space_group_name_H-M_alt 'C 1 2/m 1'
_space_group_IT_number 12
_space_group_name_Hall '-C 2y'
_cell_length_a 12.427
_cell_length_b 4.143
_cell_length_c 8.706
_cell_angle_alpha 90.00
_cell_angle_beta 111.76
_cell_angle_gamma 90.00
loop_
_atom_site_label
_atom_site_fract_x
_atom_site_fract_y
_atom_site_fract_z
Ga1 0.205 0.000 0.374
Bi1 0.000 0.500 0.000
Bi2 0.109 0.000 0.717
Au1 0.077 0.500 0.391
Au2 0.194 0.000 0.074
```

3.
Below is crystalline CaNiH3 at its relaxed geometry, with properties calculated at the PBE-GGA level.

DFT total energy ... -0.28649 Ry per atom

Cell and atoms, written as CIF:
```
data_CaNiH3
_space_group_name_H-M_alt 'C 1 2/m 1'
_space_group_IT_number 12
_space_group_name_Hall '-C 2y'
_cell_length_a 11.982
_cell_length_b 3.394
_cell_length_c 5.263
_cell_angle_alpha 90.00
_cell_angle_beta 108.37
_cell_angle_gamma 90.00
loop_
_atom_site_label
_atom_site_fract_x
_atom_site_fract_y
_atom_site_fract_z
Ca1 0.107 0.000 0.312
Ni1 0.171 0.500 0.861
H1 0.035 0.500 0.813
H2 0.188 0.500 0.569
H3 0.190 0.000 0.944
```

4.
Below is crystalline SrLi2Mg4Ag at its relaxed geometry, with properties calculated at the PBE-GGA level.

ΔH_f (0 K) ... -0.061 eV per atom

Cell and atoms, written as CIF:
```
data_SrLi2Mg4Ag
_space_group_name_H-M_alt 'R -3 m'
_space_group_IT_number 166
_space_group_name_Hall '-R 3 2"'
_cell_length_a 4.8272
_cell_length_b 4.8272
_cell_length_c 29.7708
_cell_angle_alpha 90.00
_cell_angle_beta 90.00
_cell_angle_gamma 120.00
loop_
_atom_site_label
_atom_site_fract_x
_atom_site_fract_y
_atom_site_fract_z
Sr1 0.0000 0.0000 0.0000
Li1 0.0000 0.0000 0.2343
Mg1 0.0000 0.0000 0.1351
Mg2 0.0000 0.0000 0.4083
Ag1 0.0000 0.0000 0.5000
```

5.
Below is crystalline NaInGa2H at its relaxed geometry, with properties calculated at the PBE-GGA level.

DFT total energy ... -0.19195 Ry per atom

Cell and atoms, written as CIF:
```
data_NaInGa2H
_space_group_name_H-M_alt 'P 4/m m m'
_space_group_IT_number 123
_space_group_name_Hall '-P 4 2'
_cell_length_a 4.556
_cell_length_b 4.556
_cell_length_c 4.343
_cell_angle_alpha 90.00
_cell_angle_beta 90.00
_cell_angle_gamma 90.00
loop_
_atom_site_label
_atom_site_fract_x
_atom_site_fract_y
_atom_site_fract_z
Na1 0.000 0.000 0.000
In1 0.500 0.500 0.000
Ga1 0.000 0.500 0.500
H1 0.000 0.000 0.500
```

6.
Below is crystalline BaZr2Cu at its relaxed geometry, with properties calculated at the PBE-GGA level.

ΔH_f (0 K) ... 0.664 eV per atom
Energy above the lowest structure with this stoichiometry ... 2.08 eV per formula unit

Cell and atoms, written as CIF:
```
data_BaZr2Cu
_space_group_name_H-M_alt 'I -4 m 2'
_space_group_IT_number 119
_space_group_name_Hall 'I -4 -2'
_cell_length_a 4.657
_cell_length_b 4.657
_cell_length_c 9.012
_cell_angle_alpha 90.00
_cell_angle_beta 90.00
_cell_angle_gamma 90.00
loop_
_atom_site_label
_atom_site_fract_x
_atom_site_fract_y
_atom_site_fract_z
Ba1 0.000 0.000 0.000
Zr1 0.000 0.000 0.500
Zr2 0.000 0.500 0.250
Cu1 0.000 0.500 0.750
```

7.
Below is crystalline CaMnBe2 at its relaxed geometry, with properties calculated at the PBE-GGA level.

ΔH_f (0 K) ... 0.619 eV per atom
Energy above the lowest structure with this stoichiometry ... 1.79 eV per formula unit

Cell and atoms, written as CIF:
```
data_CaMnBe2
_space_group_name_H-M_alt 'P 4/m m m'
_space_group_IT_number 123
_space_group_name_Hall '-P 4 2'
_cell_length_a 4.487
_cell_length_b 4.487
_cell_length_c 2.974
_cell_angle_alpha 90.00
_cell_angle_beta 90.00
_cell_angle_gamma 90.00
loop_
_atom_site_label
_atom_site_fract_x
_atom_site_fract_y
_atom_site_fract_z
Ca1 0.000 0.000 0.000
Mn1 0.500 0.500 0.000
Be1 0.000 0.500 0.500
```

8.
Below is crystalline TmSiTc2C at its relaxed geometry, with properties calculated at the PBE-GGA level.

Uncorrected formation energy ... -0.511 eV per atom

Cell and atoms, written as CIF:
```
data_TmSiTc2C
_space_group_name_H-M_alt 'C m c m'
_space_group_IT_number 63
_space_group_name_Hall '-C 2c 2'
_cell_length_a 3.830
_cell_length_b 11.005
_cell_length_c 7.278
_cell_angle_alpha 90.00
_cell_angle_beta 90.00
_cell_angle_gamma 90.00
loop_
_atom_site_label
_atom_site_fract_x
_atom_site_fract_y
_atom_site_fract_z
Tm1 0.000 0.043 0.250
Si1 0.000 0.235 0.750
Tc1 0.000 0.330 0.059
C1 0.000 0.500 0.000
```